FeHgI6 PBE-GGA optimized geometry; magnetic moment = 4.010 μB per formula unit; raw formation energy = -0.06 eV per atom; SG = C2/m, No. 12
1.0
5.1720 -6.3607 0.0000
5.1720 6.3607 0.0000
-2.3652 0.0000 6.1945
Fe Hg I
1 1 6
direct
0.0000 0.0000 0.0000
0.5000 0.5000 0.5000
0.1537 0.8327 0.7405
0.1673 0.8463 0.2595
0.3180 0.3180 0.1027
0.6820 0.6820 0.8973
0.8327 0.1537 0.7405
0.8463 0.1673 0.2595